Entry 1:
Material: RbPtIN2
Method: DFT, PBE-GGA
State: optimized geometry

The value obtained for the uncorrected formation energy is 5.8 eV per formula unit. The excess energy over the best structure of this formula in the dataset is 0.000 eV per atom. The total magnetization comes out at 0.308 Bohr magnetons per cell.

It has space group P4/mmm (No. 123), with a = 4.336 Å, b = 4.336 Å, c = 5.825 Å, α = 90.00°, β = 90.00° and γ = 90.00°. Symmetry generates all atoms from Rb at (0.000, 0.000, 0.000), Pt at (0.500, 0.500, 0.500), I at (0.500, 0.500, 0.000) and N at (0.000, 0.500, 0.500).

Entry 2:
Material: Rb2PtI6N
Method: DFT, PBE-GGA
State: optimized geometry

The value obtained for the uncorrected formation energy is -2.6 eV per formula unit. The total magnetization comes out at 4.022 Bohr magnetons per cell.

It has space group I4/mmm (No. 139), with a = 8.728 Å, b = 8.728 Å, c = 10.332 Å, α = 90.00°, β = 90.00° and γ = 90.00°. Symmetry generates all atoms from Rb at (0.000, 0.500, 0.250), Pt at (0.000, 0.000, 0.000), I at (0.000, 0.000, 0.282), I at (0.217, 0.217, 0.000) and N at (0.000, 0.000, 0.500).

Entry 3:
Material: RbPtIN2
Method: DFT, PBE-GGA
State: optimized geometry

The value obtained for the uncorrected formation energy is 13.5 eV per formula unit. The excess energy over the best structure of this formula in the dataset is 1.542 eV per atom. The total magnetization comes out at 2.309 Bohr magnetons per cell.

It has space group P4/mmm (No. 123), with a = 4.955 Å, b = 4.955 Å, c = 7.331 Å, α = 90.00°, β = 90.00° and γ = 90.00°. Symmetry generates all atoms from Rb at (0.000, 0.000, 0.000), Pt at (0.500, 0.500, 0.500), I at (0.000, 0.000, 0.500) and N at (0.000, 0.500, 0.000).

Entry 4:
Material: RePtI2N
Method: DFT, PBE-GGA
State: optimized geometry

The value obtained for the uncorrected formation energy is 7.5 eV per formula unit. The excess energy over the best structure of this formula in the dataset is 0.652 eV per atom. The total magnetization comes out at 4.583 Bohr magnetons per cell.

It has space group P4/mmm (No. 123), with a = 5.790 Å, b = 5.790 Å, c = 3.697 Å, α = 90.00°, β = 90.00° and γ = 90.00°. Symmetry generates all atoms from Re at (0.000, 0.000, 0.000), Pt at (0.500, 0.500, 0.500), I at (0.000, 0.500, 0.500) and N at (0.500, 0.500, 0.000).

Entry 5:
Material: RePtI2N
Method: DFT, PBE-GGA
State: optimized geometry

The value obtained for the uncorrected formation energy is 4.3 eV per formula unit. The excess energy over the best structure of this formula in the dataset is 0.000 eV per atom. The total magnetization comes out at 0.000 Bohr magnetons per cell.

It has space group P4/mmm (No. 123), with a = 5.464 Å, b = 5.464 Å, c = 3.732 Å, α = 90.00°, β = 90.00° and γ = 90.00°. Symmetry generates all atoms from Re at (0.000, 0.000, 0.000), Pt at (0.500, 0.500, 0.500), I at (0.000, 0.500, 0.000) and N at (0.000, 0.000, 0.500).

Entry 6:
Material: RuPtI2N
Method: DFT, PBE-GGA
State: optimized geometry

The value obtained for the uncorrected formation energy is 5.6 eV per formula unit. The excess energy over the best structure of this formula in the dataset is 0.356 eV per atom. The total magnetization comes out at 3.141 Bohr magnetons per cell.

It has space group P4/mmm (No. 123), with a = 5.721 Å, b = 5.721 Å, c = 3.701 Å, α = 90.00°, β = 90.00° and γ = 90.00°. Symmetry generates all atoms from Ru at (0.000, 0.000, 0.000), Pt at (0.500, 0.500, 0.500), I at (0.000, 0.500, 0.500) and N at (0.500, 0.500, 0.000).

Entry 7:
Material: RuPtI2N
Method: DFT, PBE-GGA
State: optimized geometry

The value obtained for the uncorrected formation energy is 3.8 eV per formula unit. The excess energy over the best structure of this formula in the dataset is 0.000 eV per atom. The total magnetization comes out at 0.000 Bohr magnetons per cell.

It has space group P4/mmm (No. 123), with a = 5.452 Å, b = 5.452 Å, c = 3.656 Å, α = 90.00°, β = 90.00° and γ = 90.00°. Symmetry generates all atoms from Ru at (0.000, 0.000, 0.000), Pt at (0.500, 0.500, 0.500), I at (0.000, 0.500, 0.000) and N at (0.000, 0.000, 0.500).

Entry 8:
Material: SbPtI2N
Method: DFT, PBE-GGA
State: optimized geometry

The value obtained for the uncorrected formation energy is 2.9 eV per formula unit. The excess energy over the best structure of this formula in the dataset is 0.000 eV per atom. The total magnetization comes out at 0.000 Bohr magnetons per cell.

It has space group P4/mmm (No. 123), with a = 5.868 Å, b = 5.868 Å, c = 3.729 Å, α = 90.00°, β = 90.00° and γ = 90.00°. Symmetry generates all atoms from Sb at (0.000, 0.000, 0.000), Pt at (0.500, 0.500, 0.500), I at (0.000, 0.500, 0.500) and N at (0.500, 0.500, 0.000).

Entry 9:
Material: SbPtI2N
Method: DFT, PBE-GGA
State: optimized geometry

The value obtained for the uncorrected formation energy is 5.9 eV per formula unit. The excess energy over the best structure of this formula in the dataset is 0.608 eV per atom. The total magnetization comes out at 0.631 Bohr magnetons per cell.

It has space group P4/mmm (No. 123), with a = 5.986 Å, b = 5.986 Å, c = 3.883 Å, α = 90.00°, β = 90.00° and γ = 90.00°. Symmetry generates all atoms from Sb at (0.000, 0.000, 0.000), Pt at (0.500, 0.500, 0.500), I at (0.000, 0.500, 0.000) and N at (0.000, 0.000, 0.500).

Entry 10:
Material: SbPtI2N
Method: DFT, PBE-GGA
State: optimized geometry

The value obtained for the uncorrected formation energy is 7.7 eV per formula unit. The excess energy over the best structure of this formula in the dataset is 0.960 eV per atom. The total magnetization comes out at 0.000 Bohr magnetons per cell.

It has space group P4/mmm (No. 123), with a = 5.491 Å, b = 5.491 Å, c = 5.148 Å, α = 90.00°, β = 90.00° and γ = 90.00°. Symmetry generates all atoms from Sb at (0.000, 0.000, 0.000), Pt at (0.000, 0.000, 0.500), I at (0.000, 0.500, 0.500) and N at (0.500, 0.500, 0.000).

Entry 11:
Material: SbPtI2N
Method: DFT, PBE-GGA
State: optimized geometry

The value obtained for the uncorrected formation energy is 6.0 eV per formula unit. The excess energy over the best structure of this formula in the dataset is 0.624 eV per atom. The total magnetization comes out at 0.000 Bohr magnetons per cell.

It has space group P4/mmm (No. 123), with a = 4.755 Å, b = 4.755 Å, c = 4.958 Å, α = 90.00°, β = 90.00° and γ = 90.00°. Symmetry generates all atoms from Sb at (0.000, 0.000, 0.000), Pt at (0.500, 0.500, 0.000), I at (0.000, 0.500, 0.500) and N at (0.000, 0.000, 0.500).

Entry 12:
Material: ScPtI2N
Method: DFT, PBE-GGA
State: optimized geometry

The value obtained for the uncorrected formation energy is 1.5 eV per formula unit. The excess energy over the best structure of this formula in the dataset is 0.000 eV per atom. The total magnetization comes out at 1.247 Bohr magnetons per cell.

It has space group P4/mmm (No. 123), with a = 5.857 Å, b = 5.857 Å, c = 3.723 Å, α = 90.00°, β = 90.00° and γ = 90.00°. Symmetry generates all atoms from Sc at (0.000, 0.000, 0.000), Pt at (0.500, 0.500, 0.500), I at (0.000, 0.500, 0.500) and N at (0.500, 0.500, 0.000).

Entry 13:
Material: ScPtI2N
Method: DFT, PBE-GGA
State: optimized geometry

The value obtained for the uncorrected formation energy is 2.3 eV per formula unit. The excess energy over the best structure of this formula in the dataset is 0.160 eV per atom. The total magnetization comes out at 0.506 Bohr magnetons per cell.

It has space group P4/mmm (No. 123), with a = 5.768 Å, b = 5.768 Å, c = 3.836 Å, α = 90.00°, β = 90.00° and γ = 90.00°. Symmetry generates all atoms from Sc at (0.000, 0.000, 0.000), Pt at (0.500, 0.500, 0.500), I at (0.000, 0.500, 0.000) and N at (0.000, 0.000, 0.500).

Entry 14:
Material: PtSeI2N
Method: DFT, PBE-GGA
State: optimized geometry

The value obtained for the uncorrected formation energy is 3.6 eV per formula unit. The excess energy over the best structure of this formula in the dataset is 0.000 eV per atom. The total magnetization comes out at 0.161 Bohr magnetons per cell.

It has space group P4/mmm (No. 123), with a = 5.756 Å, b = 5.756 Å, c = 3.714 Å, α = 90.00°, β = 90.00° and γ = 90.00°. Symmetry generates all atoms from Pt at (0.000, 0.000, 0.000), Se at (0.500, 0.500, 0.500), I at (0.000, 0.500, 0.000) and N at (0.000, 0.000, 0.500).

Entry 15:
Material: PtSeIN2
Method: DFT, PBE-GGA
State: optimized geometry

The value obtained for the uncorrected formation energy is 6.0 eV per formula unit. The excess energy over the best structure of this formula in the dataset is 0.000 eV per atom. The total magnetization comes out at 0.000 Bohr magnetons per cell.

It has space group P4/mmm (No. 123), with a = 3.862 Å, b = 3.862 Å, c = 8.746 Å, α = 90.00°, β = 90.00° and γ = 90.00°. Symmetry generates all atoms from Pt at (0.000, 0.000, 0.000), Se at (0.500, 0.500, 0.500), I at (0.000, 0.000, 0.500) and N at (0.000, 0.500, 0.000).

Entry 16:
Material: PtSeI2N
Method: DFT, PBE-GGA
State: optimized geometry

The value obtained for the uncorrected formation energy is 6.3 eV per formula unit. The excess energy over the best structure of this formula in the dataset is 0.544 eV per atom. The total magnetization comes out at 0.000 Bohr magnetons per cell.

It has space group P4/mmm (No. 123), with a = 5.832 Å, b = 5.832 Å, c = 3.609 Å, α = 90.00°, β = 90.00° and γ = 90.00°. Symmetry generates all atoms from Pt at (0.000, 0.000, 0.000), Se at (0.500, 0.500, 0.500), I at (0.000, 0.500, 0.500) and N at (0.500, 0.500, 0.000).

Entry 17:
Material: PtSeIN2
Method: DFT, PBE-GGA
State: optimized geometry

The value obtained for the uncorrected formation energy is 8.1 eV per formula unit. The excess energy over the best structure of this formula in the dataset is 0.407 eV per atom. The total magnetization comes out at 0.799 Bohr magnetons per cell.

It has space group P4/mmm (No. 123), with a = 3.791 Å, b = 3.791 Å, c = 8.134 Å, α = 90.00°, β = 90.00° and γ = 90.00°. Symmetry generates all atoms from Pt at (0.000, 0.000, 0.000), Se at (0.500, 0.500, 0.500), I at (0.500, 0.500, 0.000) and N at (0.000, 0.500, 0.500).

Entry 18:
Material: PtSeIN2
Method: DFT, PBE-GGA
State: optimized geometry

The value obtained for the uncorrected formation energy is 9.6 eV per formula unit. The excess energy over the best structure of this formula in the dataset is 0.718 eV per atom. The total magnetization comes out at 0.000 Bohr magnetons per cell.

It has space group P4/mmm (No. 123), with a = 3.848 Å, b = 3.848 Å, c = 6.575 Å, α = 90.00°, β = 90.00° and γ = 90.00°. Symmetry generates all atoms from Pt at (0.000, 0.000, 0.000), Se at (0.500, 0.500, 0.000), I at (0.500, 0.500, 0.500) and N at (0.000, 0.500, 0.500).

Entry 19:
Material: SiPtI2N
Method: DFT, PBE-GGA
State: optimized geometry

The value obtained for the uncorrected formation energy is 4.0 eV per formula unit. The excess energy over the best structure of this formula in the dataset is 0.207 eV per atom. The total magnetization comes out at 0.389 Bohr magnetons per cell.

It has space group P4/mmm (No. 123), with a = 5.759 Å, b = 5.759 Å, c = 3.730 Å, α = 90.00°, β = 90.00° and γ = 90.00°. Symmetry generates all atoms from Si at (0.000, 0.000, 0.000), Pt at (0.500, 0.500, 0.500), I at (0.000, 0.500, 0.500) and N at (0.500, 0.500, 0.000).

Entry 20:
Material: SiPtIN2
Method: DFT, PBE-GGA
State: optimized geometry

The value obtained for the uncorrected formation energy is 4.3 eV per formula unit. The excess energy over the best structure of this formula in the dataset is 0.000 eV per atom. The total magnetization comes out at 0.000 Bohr magnetons per cell.

It has space group P4/mmm (No. 123), with a = 3.600 Å, b = 3.600 Å, c = 7.933 Å, α = 90.00°, β = 90.00° and γ = 90.00°. Symmetry generates all atoms from Si at (0.000, 0.000, 0.000), Pt at (0.500, 0.500, 0.500), I at (0.000, 0.000, 0.500) and N at (0.000, 0.500, 0.000).